1.
Density functional theory data (PBE) for a relaxed BeVBi3 crystal.

**Density of states at the Fermi level**: 4.06 states/eV per cell
**ΔE_f**: 861.6 meV/atom
**Theoretical density**: 7.85 g/cm³

extended XYZ file:
```
5
Lattice="5.256 0.000 0.000 0.000 5.256 0.000 0.000 0.000 5.256" Properties=species:S:1:pos:R:3 pbc="T T T"
Be 0.000 0.000 0.000
V 2.628 2.628 2.628
Bi 0.000 2.628 2.628
Bi 2.628 0.000 2.628
Bi 2.628 2.628 0.000
```

2.
Density functional theory data (PBE) for a relaxed Sm2HoPaSb5 crystal.

**Density of states at the Fermi level**: 6.04 states/eV per cell
**Theoretical density**: 6.25 g/cm³
**Raw formation energy**: -0.140 eV/atom

extended XYZ file:
```
9
Lattice="5.472 0.000 0.000 0.000 5.472 0.000 0.000 0.000 11.587" Properties=species:S:1:pos:R:3 pbc="T T T"
Sm 0.000 0.000 2.616
Sm 0.000 0.000 8.971
Ho 2.736 2.736 5.793
Pa 2.736 2.736 0.000
Sb 0.000 0.000 5.793
Sb 0.000 2.736 0.000
Sb 2.736 0.000 0.000
Sb 2.736 2.736 2.945
Sb 2.736 2.736 8.642
```

3.
Density functional theory data (PBE) for a relaxed TaFe4Se crystal.

**Density of states at the Fermi level**: 5.35 states/eV per cell
**Theoretical density**: 9.82 g/cm³
**Raw formation energy**: 0.150 eV/atom

extended XYZ file:
```
6
Lattice="0.000 3.444 3.444 3.444 0.000 3.444 3.444 3.444 0.000" Properties=species:S:1:pos:R:3 pbc="T T T"
Ta 0.000 0.000 0.000
Fe 4.312 2.577 2.577
Fe 2.577 4.312 2.577
Fe 2.577 2.577 4.312
Fe 4.312 4.312 4.312
Se 1.722 1.722 1.722
```

4.
Density functional theory data (PBE) for a relaxed Pm5Rh2N crystal.

**Density of states at the Fermi level**: 12.16 states/eV per cell
**Theoretical density**: 7.54 g/cm³
**Raw formation energy**: -0.593 eV/atom

extended XYZ file:
```
16
Lattice="2.755 -5.678 0.000 2.755 5.678 0.000 0.000 0.000 13.295" Properties=species:S:1:pos:R:3 pbc="T T T"
Pm 2.755 4.899 8.296
Pm 2.755 4.899 11.646
Pm 2.755 2.607 3.324
Pm 2.755 1.512 8.120
Pm 2.755 1.512 11.822
Pm 2.755 -1.512 1.473
Pm 2.755 -1.512 5.175
Pm 2.755 -2.607 9.971
Pm 2.755 -4.899 1.648
Pm 2.755 -4.899 4.999
Rh 2.755 3.519 0.674
Rh 2.755 3.519 5.973
Rh 2.755 -3.519 7.322
Rh 2.755 -3.519 12.620
N 2.755 3.045 9.971
N 2.755 -3.045 3.324
```

5.
Density functional theory data (PBE) for a relaxed LaCdTc2 crystal.

**Density of states at the Fermi level**: 3.62 states/eV per cell
**ΔE_f**: 591.5 meV/atom
**Theoretical density**: 9.87 g/cm³

extended XYZ file:
```
4
Lattice="1.623 -2.556 0.000 1.623 2.556 0.000 0.000 0.000 9.070" Properties=species:S:1:pos:R:3 pbc="T T T"
La 0.000 0.000 0.000
Cd 0.000 0.000 4.535
Tc 1.623 0.000 2.220
Tc 1.623 0.000 6.850
```

6.
Density functional theory data (PBE) for a relaxed LaBe4Fe crystal.

**Density of states at the Fermi level**: 4.76 states/eV per cell
**ΔE_f**: 230.6 meV/atom
**Theoretical density**: 5.02 g/cm³

extended XYZ file:
```
6
Lattice="0.000 3.366 3.366 3.366 0.000 3.366 3.366 3.366 0.000" Properties=species:S:1:pos:R:3 pbc="T T T"
La 0.000 0.000 0.000
Be 4.171 2.562 2.562
Be 2.562 4.171 2.562
Be 2.562 2.562 4.171
Be 4.171 4.171 4.171
Fe 1.683 1.683 1.683
```